Entry 1:
This record from the Alexandria database describes crystalline LaZnSe at its relaxed geometry. The functional is PBE-GGA.

## Properties
raw formation energy = -0.8994 eV per atom
space-group type = Pmm2 (25)
D(E_F) = 1.738 states/eV/f.u.

Structure (POSCAR):
```
LaZnSe
1.0
-2.390 -3.991 0.875
0.983 0.267 3.905
-3.760 2.423 0.781
Se La Zn
1 1 1
Direct
0.000 0.500 0.253
0.000 0.000 0.742
0.500 0.500 0.939
```



Entry 2:
This record from the Alexandria database describes crystalline Re2SiP at its relaxed geometry. The functional is PBE-GGA.

## Properties
raw formation energy = 0.7457 eV per atom
space-group type = I-42d (122)
D(E_F) = 4.528 states/eV/f.u.

Structure (POSCAR):
```
Re2SiP
1.0
5.551 0.000 0.000
0.000 5.551 0.000
2.776 2.776 5.039
Re Si P
4 2 2
Direct
0.875 0.888 0.750
0.112 0.625 0.250
0.375 0.362 0.750
0.638 0.125 0.250
0.250 0.750 0.500
0.500 0.500 0.000
0.000 0.000 0.000
0.750 0.250 0.500
```



Entry 3:
This record from the Alexandria database describes crystalline Al2SiSe at its relaxed geometry. The functional is PBE-GGA.

## Properties
raw formation energy = 0.0219 eV per atom
space-group type = Pmmm (47)
D(E_F) = 1.429 states/eV/f.u.

Structure (POSCAR):
```
Al2SiSe
1.0
3.363 0.000 0.000
0.000 3.394 -0.012
0.000 0.023 6.617
Al Si Se
2 1 1
Direct
0.000 0.250 0.959
0.000 0.250 0.541
0.500 0.750 0.750
0.500 0.250 0.250
```



Entry 4:
This record from the Alexandria database describes crystalline Sr3Cd2In at its relaxed geometry. The functional is PBE-GGA.

## Properties
space-group type = P4/mmm (123)
E_form = -0.37 eV per atom
D(E_F) = 3.904 states/eV/f.u.

Structure (POSCAR):
```
Sr3Cd2In
1.0
4.090 0.000 0.000
0.000 4.090 0.000
0.000 0.000 12.051
Sr Cd In
3 2 1
Direct
0.000 0.000 0.000
0.000 0.000 0.666
0.000 0.000 0.334
0.500 0.500 0.170
0.500 0.500 0.830
0.500 0.500 0.500
```



no.,magnetization (μB/f.u.)
1,0.00
2,1.01
3,0.00
4,0.00